Computed, not measured: a PBEsol-optimized structure of KCo2Ni at the meta-GGA SCAN level of DFT.

```
data_KCo2Ni
_chemical_formula_sum 'K1 Co2 Ni1'
_cell_length_a 4.7569
_cell_length_b 2.5124
_cell_length_c 4.9589
_cell_angle_alpha 90.00
_cell_angle_beta 110.67
_cell_angle_gamma 90.00
_symmetry_space_group_name_H-M 'P 1 2/m 1'
_symmetry_Int_Tables_number 10
_symmetry_space_group_name_Hall '-P 2y'
loop_
_atom_site_label
_atom_site_type_symbol
_atom_site_fract_x
_atom_site_fract_y
_atom_site_fract_z
_atom_site_occupancy
K1 K 0.0000 0.0000 0.0000 1
Co1 Co 0.0000 0.5000 0.5000 1
Co2 Co 0.5000 0.0000 0.5000 1
Ni1 Ni 0.5000 0.5000 0.0000 1
```

Properties
offset from the most stable computed form	0.435	eV/atom
final energy	-13.678	eV/atom
energy of formation	424	kJ/mol of formula units
DOS at the Fermi energy	0.571	states/eV per atom

---

Computed, not measured: a PBEsol-optimized structure of ZrCd2Au at the meta-GGA SCAN level of DFT.

```
data_ZrCd2Au
_chemical_formula_sum 'Zr1 Cd2 Au1'
_cell_length_a 3.0797
_cell_length_b 3.2100
_cell_length_c 7.9130
_cell_angle_alpha 90.00
_cell_angle_beta 90.00
_cell_angle_gamma 90.00
_symmetry_space_group_name_H-M 'P m m 2'
_symmetry_Int_Tables_number 25
_symmetry_space_group_name_Hall 'P 2 -2'
loop_
_atom_site_label
_atom_site_type_symbol
_atom_site_fract_x
_atom_site_fract_y
_atom_site_fract_z
_atom_site_occupancy
Zr1 Zr 0.0000 0.0000 0.0000 1
Cd1 Cd 0.0000 0.0000 0.4697 1
Cd2 Cd 0.5000 0.5000 0.7293 1
Au1 Au 0.5000 0.5000 0.2320 1
```

Properties
final energy	-40.521	eV/atom
energy of formation	-135	kJ/mol of formula units
DOS at the Fermi energy	0.591	states/eV per atom

---

Computed, not measured: a PBEsol-optimized structure of InSnN2F at the meta-GGA SCAN level of DFT.

```
data_InSnN2F
_chemical_formula_sum 'In1 Sn1 N2 F1'
_cell_length_a 4.1445
_cell_length_b 4.1445
_cell_length_c 4.0557
_cell_angle_alpha 90.00
_cell_angle_beta 90.00
_cell_angle_gamma 90.00
_symmetry_space_group_name_H-M 'P 4/m m m'
_symmetry_Int_Tables_number 123
_symmetry_space_group_name_Hall '-P 4 2'
loop_
_atom_site_label
_atom_site_type_symbol
_atom_site_fract_x
_atom_site_fract_y
_atom_site_fract_z
_atom_site_occupancy
In1 In 0.0000 0.0000 0.0000 1
Sn1 Sn 0.5000 0.5000 0.5000 1
N1 N 0.0000 0.5000 0.5000 1
F1 F 0.5000 0.5000 0.0000 1
```

Properties
final energy	-18.132	eV/atom
DOS at the Fermi energy	0.329	states/eV per atom

---

Computed, not measured: a PBEsol-optimized structure of LiZr2Te at the meta-GGA SCAN level of DFT.

```
data_LiZr2Te
_chemical_formula_sum 'Li1 Zr2 Te1'
_cell_length_a 3.5943
_cell_length_b 3.7409
_cell_length_c 6.2490
_cell_angle_alpha 90.00
_cell_angle_beta 90.00
_cell_angle_gamma 90.00
_symmetry_space_group_name_H-M 'P m m 2'
_symmetry_Int_Tables_number 25
_symmetry_space_group_name_Hall 'P 2 -2'
loop_
_atom_site_label
_atom_site_type_symbol
_atom_site_fract_x
_atom_site_fract_y
_atom_site_fract_z
_atom_site_occupancy
Li1 Li 0.0000 0.0000 0.0000 1
Zr1 Zr 0.0000 0.0000 0.4827 1
Zr2 Zr 0.5000 0.5000 0.7317 1
Te1 Te 0.5000 0.5000 0.2275 1
```

Properties
final energy	-25.623	eV/atom
DOS at the Fermi energy	0.658	states/eV per atom

---

Computed, not measured: a PBEsol-optimized structure of ZnReNi at the meta-GGA SCAN level of DFT.

```
data_ZnReNi
_chemical_formula_sum 'Zn1 Re1 Ni1'
_cell_length_a 4.1548
_cell_length_b 4.1548
_cell_length_c 2.5339
_cell_angle_alpha 90.00
_cell_angle_beta 90.00
_cell_angle_gamma 120.00
_symmetry_space_group_name_H-M 'P -6 m 2'
_symmetry_Int_Tables_number 187
_symmetry_space_group_name_Hall 'P -6 2'
loop_
_atom_site_label
_atom_site_type_symbol
_atom_site_fract_x
_atom_site_fract_y
_atom_site_fract_z
_atom_site_occupancy
Zn1 Zn 0.0000 0.0000 0.0000 1
Re1 Re 0.3333 0.6667 0.5000 1
Ni1 Ni 0.6667 0.3333 0.0000 1
```

Properties
offset from the most stable computed form	0.159	eV/atom
final energy	-33.365	eV/atom
energy of formation	67	kJ/mol of formula units
DOS at the Fermi energy	1.086	states/eV per atom

---

Computed, not measured: a PBEsol-optimized structure of SrCaAg at the meta-GGA SCAN level of DFT.

```
data_SrCaAg
_chemical_formula_sum 'Sr4 Ca4 Ag4'
_cell_length_a 5.3677
_cell_length_b 5.3734
_cell_length_c 13.4388
_cell_angle_alpha 90.00
_cell_angle_beta 90.00
_cell_angle_gamma 90.00
_symmetry_space_group_name_H-M 'F m m 2'
_symmetry_Int_Tables_number 42
_symmetry_space_group_name_Hall 'F 2 -2'
loop_
_atom_site_label
_atom_site_type_symbol
_atom_site_fract_x
_atom_site_fract_y
_atom_site_fract_z
_atom_site_occupancy
Sr1 Sr 0.0000 0.0000 0.0000 1
Ca1 Ca 0.0000 0.0000 0.7310 1
Ag1 Ag 0.0000 0.0000 0.3536 1
```

Properties
offset from the most stable computed form	0.000	eV/atom
final energy	-21.302	eV/atom
energy of formation	-58	kJ/mol of formula units
DOS at the Fermi energy	0.809	states/eV per atom

---

Computed, not measured: a PBEsol-optimized structure of Ba2HfCdGe at the meta-GGA SCAN level of DFT.

```
data_Ba2HfCdGe
_chemical_formula_sum 'Ba2 Hf1 Cd1 Ge1'
_cell_length_a 6.1713
_cell_length_b 6.1713
_cell_length_c 5.0841
_cell_angle_alpha 90.00
_cell_angle_beta 90.00
_cell_angle_gamma 90.00
_symmetry_space_group_name_H-M 'P 4/m m m'
_symmetry_Int_Tables_number 123
_symmetry_space_group_name_Hall '-P 4 2'
loop_
_atom_site_label
_atom_site_type_symbol
_atom_site_fract_x
_atom_site_fract_y
_atom_site_fract_z
_atom_site_occupancy
Ba1 Ba 0.0000 0.5000 0.0000 1
Hf1 Hf 0.0000 0.0000 0.0000 1
Cd1 Cd 0.5000 0.5000 0.5000 1
Ge1 Ge 0.0000 0.0000 0.5000 1
```

Properties
final energy	-37.853	eV/atom
energy of formation	194	kJ/mol of formula units
DOS at the Fermi energy	0.821	states/eV per atom

---

Computed, not measured: a PBEsol-optimized structure of CaCeO3 at the meta-GGA SCAN level of DFT.

```
data_CaCeO3
_chemical_formula_sum 'Ca4 Ce4 O12'
_cell_length_a 5.9929
_cell_length_b 8.4024
_cell_length_c 5.7720
_cell_angle_alpha 90.00
_cell_angle_beta 90.00
_cell_angle_gamma 90.00
_symmetry_space_group_name_H-M 'P n m a'
_symmetry_Int_Tables_number 62
_symmetry_space_group_name_Hall '-P 2ac 2n'
loop_
_atom_site_label
_atom_site_type_symbol
_atom_site_fract_x
_atom_site_fract_y
_atom_site_fract_z
_atom_site_occupancy
Ca1 Ca 0.0519 0.2500 0.0151 1
Ce1 Ce 0.0000 0.0000 0.5000 1
O1 O 0.0714 0.7500 0.3663 1
O2 O 0.1925 0.5728 0.8089 1
```

Properties
final energy	-18.062	eV/atom
DOS at the Fermi energy	0.000	states/eV per atom

---

Computed, not measured: a PBEsol-optimized structure of SrZr2NbCu at the meta-GGA SCAN level of DFT.

```
data_SrZr2NbCu
_chemical_formula_sum 'Sr1 Zr2 Nb1 Cu1'
_cell_length_a 4.9698
_cell_length_b 4.9698
_cell_length_c 5.9087
_cell_angle_alpha 90.00
_cell_angle_beta 90.00
_cell_angle_gamma 90.00
_symmetry_space_group_name_H-M 'P 4/m m m'
_symmetry_Int_Tables_number 123
_symmetry_space_group_name_Hall '-P 4 2'
loop_
_atom_site_label
_atom_site_type_symbol
_atom_site_fract_x
_atom_site_fract_y
_atom_site_fract_z
_atom_site_occupancy
Sr1 Sr 0.0000 0.0000 0.0000 1
Zr1 Zr 0.0000 0.5000 0.5000 1
Nb1 Nb 0.0000 0.0000 0.5000 1
Cu1 Cu 0.5000 0.5000 0.0000 1
```

Properties
final energy	-25.233	eV/atom
energy of formation	563	kJ/mol of formula units
DOS at the Fermi energy	0.744	states/eV per atom

---

Computed, not measured: a PBEsol-optimized structure of TlCrNiF6 at the meta-GGA SCAN level of DFT.

```
data_TlCrNiF6
_chemical_formula_sum 'Tl4 Cr4 Ni4 F24'
_cell_length_a 7.0846
_cell_length_b 7.1799
_cell_length_c 10.2037
_cell_angle_alpha 90.00
_cell_angle_beta 90.00
_cell_angle_gamma 90.00
_symmetry_space_group_name_H-M 'I m m a'
_symmetry_Int_Tables_number 74
_symmetry_space_group_name_Hall '-I 2b 2'
loop_
_atom_site_label
_atom_site_type_symbol
_atom_site_fract_x
_atom_site_fract_y
_atom_site_fract_z
_atom_site_occupancy
Tl1 Tl 0.0000 0.2500 0.0895 1
Cr1 Cr 0.0000 0.0000 0.5000 1
Ni1 Ni 0.2500 0.2500 0.7500 1
F1 F 0.0000 0.2500 0.4351 1
F2 F 0.0000 0.2500 0.8308 1
F3 F 0.1957 0.0490 0.6222 1
```

Properties
final energy	-16.841	eV/atom
DOS at the Fermi energy	0.000	states/eV per atom

---

Computed, not measured: a PBEsol-optimized structure of GaBP2Cl at the meta-GGA SCAN level of DFT.

```
data_GaBP2Cl
_chemical_formula_sum 'Ga1 B1 P2 Cl1'
_cell_length_a 4.6326
_cell_length_b 4.6326
_cell_length_c 4.8156
_cell_angle_alpha 90.00
_cell_angle_beta 90.00
_cell_angle_gamma 90.00
_symmetry_space_group_name_H-M 'P 4/m m m'
_symmetry_Int_Tables_number 123
_symmetry_space_group_name_Hall '-P 4 2'
loop_
_atom_site_label
_atom_site_type_symbol
_atom_site_fract_x
_atom_site_fract_y
_atom_site_fract_z
_atom_site_occupancy
Ga1 Ga 0.0000 0.0000 0.0000 1
B1 B 0.5000 0.5000 0.5000 1
P1 P 0.0000 0.5000 0.0000 1
Cl1 Cl 0.0000 0.0000 0.5000 1
```

Properties
final energy	-9.080	eV/atom
DOS at the Fermi energy	0.416	states/eV per atom

---

Computed, not measured: a PBEsol-optimized structure of SiB6 at the meta-GGA SCAN level of DFT.

```
data_SiB6
_chemical_formula_sum 'Si1 B6'
_cell_length_a 4.1152
_cell_length_b 4.1152
_cell_length_c 4.1152
_cell_angle_alpha 90.00
_cell_angle_beta 90.00
_cell_angle_gamma 90.00
_symmetry_space_group_name_H-M 'P m -3 m'
_symmetry_Int_Tables_number 221
_symmetry_space_group_name_Hall '-P 4 2 3'
loop_
_atom_site_label
_atom_site_type_symbol
_atom_site_fract_x
_atom_site_fract_y
_atom_site_fract_z
_atom_site_occupancy
Si1 Si 0.0000 0.0000 0.0000 1
B1 B 0.2001 0.5000 0.5000 1
```

Properties
final energy	-7.311	eV/atom
DOS at the Fermi energy	0.024	states/eV per atom

---

- Among the records above, which one has the highest DOS at the Fermi energy?
  ZnReNi

---

What did the eighth record say?
Computed, not measured: a PBEsol-optimized structure of CaCeO3 at the meta-GGA SCAN level of DFT.

```
data_CaCeO3
_chemical_formula_sum 'Ca4 Ce4 O12'
_cell_length_a 5.9929
_cell_length_b 8.4024
_cell_length_c 5.7720
_cell_angle_alpha 90.00
_cell_angle_beta 90.00
_cell_angle_gamma 90.00
_symmetry_space_group_name_H-M 'P n m a'
_symmetry_Int_Tables_number 62
_symmetry_space_group_name_Hall '-P 2ac 2n'
loop_
_atom_site_label
_atom_site_type_symbol
_atom_site_fract_x
_atom_site_fract_y
_atom_site_fract_z
_atom_site_occupancy
Ca1 Ca 0.0519 0.2500 0.0151 1
Ce1 Ce 0.0000 0.0000 0.5000 1
O1 O 0.0714 0.7500 0.3663 1
O2 O 0.1925 0.5728 0.8089 1
```

Properties
final energy	-18.062	eV/atom
DOS at the Fermi energy	0.000	states/eV per atom